A plane-wave DFT calculation with PBE was carried out for RbAlO2 after structural relaxation.

Structure (extended XYZ):
```
8
Lattice="5.3480 0.0000 0.0000 0.0000 5.3480 0.0000 2.6740 2.6740 4.5345" Properties=species:S:1:pos:R:3 pbc="T T T"
Al 2.6740 5.3480 2.2672
Rb 5.3480 2.6740 2.2672
O 2.6740 5.3480 3.9749
Rb 0.0000 0.0000 0.0000
O 2.6740 5.3480 0.5596
O 5.3480 5.3480 2.8268
Al 2.6740 2.6740 0.0000
O 2.6740 2.6740 1.7077
```

Results
Magnetization (μB/f.u.): 0.0
Calculated total energy (eV/atom): -5.41
Formation energy without anion corrections (eV/atom): -1.76